Computed, not measured: crystalline AlRe2Ni at its relaxed geometry at the GGA-PBE level of DFT.

Size of the total moment, μB/f.u.: 0.000
DFT total energy, eV per atom: -8.58
Energy relative to the elements, eV/atom: 0.02
Crystal system: orthorhombic

Cell lengths 2.6728, 2.6728, 8.3449 Å; angles 90.00, 90.00, 110.39 degrees
Element x y z (fractional)
Al: 0.0000 0.0000 0.0000
Re: 0.0000 0.0000 0.4718
Re: 0.5000 0.5000 0.7357
Ni: 0.5000 0.5000 0.2221